Entry 1:
Entry from the Alexandria database: a relaxed PPd3O crystal (PBE-GGA).

Values from the calculation:
- Magnetization: 0.0 μB/cell
- Space-group type: Pm-3m, No. 221
- ΔE_f (raw): 0.220 eV per atom
- VASP energy: -4.97 eV/atom
- E above lowest polymorph: 0 meV per atom

Cell: 4.2152 4.2152 4.2152 Å, 90.00 90.00 90.00°
Positions (direct):
P: 0.0000 0.0000 0.0000
Pd: 0.0000 0.5000 0.5000
Pd: 0.5000 0.0000 0.5000
Pd: 0.5000 0.5000 0.0000
O: 0.5000 0.5000 0.5000

---

Entry 2:
Entry from the Alexandria database: a relaxed NaZnRhCl2 crystal (PBE-GGA).

Values from the calculation:
- Magnetization: 0.8 μB/cell
- Space-group type: P4/mmm, No. 123
- ΔE_f (raw): -0.074 eV per atom
- VASP energy: -2.80 eV/atom

Cell: 5.0127 5.0127 4.8388 Å, 90.00 90.00 90.00°
Positions (direct):
Na: 0.0000 0.0000 0.0000
Zn: 0.5000 0.5000 0.5000
Rh: 0.5000 0.5000 0.0000
Cl: 0.0000 0.5000 0.5000
Cl: 0.5000 0.0000 0.5000

---

Entry 3:
Entry from the Alexandria database: a relaxed TlSnRh2 crystal (PBE-GGA).

Values from the calculation:
- Formation energy: -0.485 eV/f.u.
- Magnetization: 0.0 μB/cell
- Space-group type: Fm-3m, No. 225
- VASP energy: -5.39 eV/atom

Cell: 4.6573 4.6573 4.6573 Å, 60.00 60.00 60.00°
Positions (direct):
Tl: 0.0000 0.0000 0.0000
Sn: 0.5000 0.5000 0.5000
Rh: 0.2500 0.2500 0.2500
Rh: 0.7500 0.7500 0.7500